Record 1
The following is a DFT calculation (PBE) of crystalline Sm2Sc2CICl4 at its relaxed geometry.

Summary:
energy above the most stable polymorph in this dataset = 0.0 meV/atom

a = 16.658 Å, b = 3.743 Å, c = 8.813 Å
α = 90.00°, β = 103.90°, γ = 90.00°
Space group C2/m (No. 12)
Unique sites:
1 Sm 0.001 0.000 0.195 x4
2 Sc 0.139 0.500 0.063 x4
3 C 0.000 0.500 0.000 x2
4 I 0.000 0.500 0.500 x2
5 Cl 0.173 0.000 0.273 x4
6 Cl 0.173 0.000 0.877 x4

Record 2
The following is a DFT calculation (PBE) of crystalline LiTaIr at its relaxed geometry.

Summary:
energy above the most stable polymorph in this dataset = 0.0 meV/atom

a = 5.974 Å, b = 5.974 Å, c = 5.974 Å
α = 90.00°, β = 90.00°, γ = 90.00°
Space group F-43m (No. 216)
Unique sites:
1 Li 0.000 0.000 0.000 x4
2 Ta 0.250 0.250 0.750 x4
3 Ir 0.000 0.000 0.500 x4

Record 3
The following is a DFT calculation (PBE) of crystalline YNbW at its relaxed geometry.

Summary:
energy of formation = 1.8848 eV per atom

a = 6.521 Å, b = 6.521 Å, c = 6.521 Å
α = 90.00°, β = 90.00°, γ = 90.00°
Space group F-43m (No. 216)
Unique sites:
1 Y 0.000 0.000 0.000 x4
2 Nb 0.250 0.250 0.750 x4
3 W 0.250 0.250 0.250 x4

Record 4
The following is a DFT calculation (PBE) of crystalline ThGaI at its relaxed geometry.

Summary:
total energy = -4.883 eV per atom

a = 7.336 Å, b = 4.234 Å, c = 12.809 Å
α = 90.00°, β = 101.19°, γ = 90.00°
Space group C2/m (No. 12)
Unique sites:
1 Th 0.055 0.000 0.163 x4
2 Ga 0.166 0.500 0.997 x4
3 I 0.219 0.000 0.664 x4

Record 5
The following is a DFT calculation (PBE) of crystalline CoSiHgAu at its relaxed geometry.

Summary:
energy above the most stable polymorph in this dataset = 0.0 meV/atom

a = 6.390 Å, b = 6.390 Å, c = 6.390 Å
α = 90.00°, β = 90.00°, γ = 90.00°
Space group F-43m (No. 216)
Unique sites:
1 Co 0.000 0.000 0.000 x4
2 Si 0.250 0.250 0.750 x4
3 Hg 0.250 0.250 0.250 x4
4 Au 0.000 0.000 0.500 x4

Record 6
The following is a DFT calculation (PBE) of crystalline Sm2Au2O5 at its relaxed geometry.

Summary:
energy above the most stable polymorph in this dataset = 14.4 meV/atom

a = 4.190 Å, b = 4.190 Å, c = 7.040 Å
α = 90.00°, β = 90.00°, γ = 90.00°
Space group P4/mmm (No. 123)
Unique sites:
1 Sm 0.000 0.000 0.000 x1
2 Sm 0.000 0.000 0.500 x1
3 Au 0.500 0.500 0.192 x2
4 O 0.000 0.500 0.227 x4
5 O 0.500 0.500 0.500 x1

Record 7
The following is a DFT calculation (PBE) of crystalline HfBe2Ge at its relaxed geometry.

Summary:
total energy = -5.170 eV per atom

a = 6.140 Å, b = 6.140 Å, c = 6.140 Å
α = 90.00°, β = 90.00°, γ = 90.00°
Space group F-43m (No. 216)
Unique sites:
1 Hf 0.000 0.000 0.000 x4
2 Be 0.000 0.000 0.500 x4
3 Be 0.250 0.250 0.250 x4
4 Ge 0.250 0.250 0.750 x4

Record 8
The following is a DFT calculation (PBE) of crystalline SmTaN2O at its relaxed geometry.

Summary:
total energy = -9.467 eV per atom

a = 5.491 Å, b = 5.579 Å, c = 5.963 Å
α = 91.72°, β = 116.13°, γ = 119.34°
Space group P1 (No. 1)
Unique sites:
1 Sm 0.000 0.000 0.000 x1
2 Sm 0.468 0.734 0.212 x1
3 Ta 0.060 0.552 0.552 x1
4 Ta 0.456 0.226 0.661 x1
5 N 0.210 0.384 0.384 x1
6 N 0.491 0.926 0.832 x1
7 N 0.916 0.550 0.839 x1
8 N 0.981 0.796 0.356 x1
9 O 0.305 0.345 0.861 x1
10 O 0.579 0.174 0.375 x1

Record 9
The following is a DFT calculation (PBE) of crystalline PuHfSi at its relaxed geometry.

Summary:
energy above the most stable polymorph in this dataset = 0.0 meV/atom

a = 6.506 Å, b = 6.506 Å, c = 6.506 Å
α = 90.00°, β = 90.00°, γ = 90.00°
Space group F-43m (No. 216)
Unique sites:
1 Pu 0.000 0.000 0.000 x4
2 Hf 0.000 0.000 0.500 x4
3 Si 0.250 0.250 0.750 x4

Record 10
The following is a DFT calculation (PBE) of crystalline RbCuTcTe3 at its relaxed geometry.

Summary:
energy above the most stable polymorph in this dataset = 0.0 meV/atom

a = 14.595 Å, b = 3.956 Å, c = 11.617 Å
α = 90.00°, β = 90.00°, γ = 90.00°
Space group Pnma (No. 62)
Unique sites:
1 Rb 0.143 0.250 0.012 x4
2 Cu 0.207 0.750 0.254 x4
3 Tc 0.032 0.750 0.592 x4
4 Te 0.033 0.750 0.253 x4
5 Te 0.129 0.250 0.496 x4
6 Te 0.181 0.750 0.752 x4

Record 11
The following is a DFT calculation (PBE) of crystalline DyUCu at its relaxed geometry.

Summary:
energy above the most stable polymorph in this dataset = 0.0 meV/atom
energy of formation = 0.6453 eV per atom

a = 6.670 Å, b = 6.670 Å, c = 6.670 Å
α = 90.00°, β = 90.00°, γ = 90.00°
Space group F-43m (No. 216)
Unique sites:
1 Dy 0.000 0.000 0.000 x4
2 U 0.000 0.000 0.500 x4
3 Cu 0.250 0.250 0.250 x4

Record 12
The following is a DFT calculation (PBE) of crystalline SrPmGd at its relaxed geometry.

Summary:
total energy = -2.878 eV per atom

a = 8.209 Å, b = 8.209 Å, c = 8.209 Å
α = 90.00°, β = 90.00°, γ = 90.00°
Space group F-43m (No. 216)
Unique sites:
1 Sr 0.000 0.000 0.000 x4
2 Pm 0.250 0.250 0.750 x4
3 Gd 0.000 0.000 0.500 x4